1.
# TaTe2P, optimized geometry, DFT GGA-PBE
# Raw total energy: -5.15 eV/atom
# Formation energy without anion corrections: 0.73 eV/atom
data_TaTe2P
_chemical_formula_sum 'Ta4 Te8 P4'
_cell_length_a 6.574
_cell_length_b 6.574
_cell_length_c 11.424
_cell_angle_alpha 90.00
_cell_angle_beta 90.00
_cell_angle_gamma 90.00
_space_group_name_H-M_alt 'I -4 2 d'
_space_group_IT_number 122
_space_group_name_Hall 'I -4 2bw'
loop_
_atom_site_label
_atom_site_type_symbol
_atom_site_fract_x
_atom_site_fract_y
_atom_site_fract_z
Ta1 Ta 0.000 0.000 0.000
Te1 Te 0.237 0.250 0.125
P1 P 0.000 0.000 0.500


2.
# Ac6La2Mg, optimized geometry, DFT GGA-PBE
# Raw total energy: -3.97 eV/atom
# DFT formation energy: 0.040 eV per atom
data_Ac6La2Mg
_chemical_formula_sum 'Ac12 La4 Mg2'
_cell_length_a 13.420
_cell_length_b 6.021
_cell_length_c 9.424
_cell_angle_alpha 90.00
_cell_angle_beta 102.47
_cell_angle_gamma 90.00
_space_group_name_H-M_alt 'C 1 2/m 1'
_space_group_IT_number 12
_space_group_name_Hall '-C 2y'
loop_
_atom_site_label
_atom_site_type_symbol
_atom_site_fract_x
_atom_site_fract_y
_atom_site_fract_z
Ac1 Ac 0.105 0.000 0.178
Ac2 Ac 0.145 0.500 0.498
Ac3 Ac 0.200 0.000 0.795
La1 La 0.081 0.500 0.881
Mg1 Mg 0.000 0.000 0.500


3.
# KNaIn2Ir, optimized geometry, DFT GGA-PBE
# Raw total energy: -3.45 eV/atom
# DFT formation energy: -0.104 eV per atom
data_KNaIn2Ir
_chemical_formula_sum 'K1 Na1 In2 Ir1'
_cell_length_a 5.190
_cell_length_b 5.190
_cell_length_c 5.666
_cell_angle_alpha 90.00
_cell_angle_beta 90.00
_cell_angle_gamma 90.00
_space_group_name_H-M_alt 'P 4/m m m'
_space_group_IT_number 123
_space_group_name_Hall '-P 4 2'
loop_
_atom_site_label
_atom_site_type_symbol
_atom_site_fract_x
_atom_site_fract_y
_atom_site_fract_z
K1 K 0.000 0.000 0.000
Na1 Na 0.500 0.500 0.000
In1 In 0.000 0.500 0.500
Ir1 Ir 0.500 0.500 0.500


4.
# Zr2MnAs, optimized geometry, DFT GGA-PBE
# Raw total energy: -8.03 eV/atom
# DFT formation energy: -0.298 eV per atom
data_Zr2MnAs
_chemical_formula_sum 'Zr4 Mn2 As2'
_cell_length_a 4.281
_cell_length_b 4.281
_cell_length_c 7.997
_cell_angle_alpha 90.00
_cell_angle_beta 90.00
_cell_angle_gamma 90.00
_space_group_name_H-M_alt 'I 4/m m m'
_space_group_IT_number 139
_space_group_name_Hall '-I 4 2'
loop_
_atom_site_label
_atom_site_type_symbol
_atom_site_fract_x
_atom_site_fract_y
_atom_site_fract_z
Zr1 Zr 0.000 0.500 0.250
Mn1 Mn 0.000 0.000 0.000
As1 As 0.000 0.000 0.500


5.
# AcLaAlI, optimized geometry, DFT GGA-PBE
# Raw total energy: -4.06 eV/atom
# Formation energy without anion corrections: -0.48 eV/atom
data_AcLaAlI
_chemical_formula_sum 'Ac4 La4 Al4 I4'
_cell_length_a 8.041
_cell_length_b 8.041
_cell_length_c 8.041
_cell_angle_alpha 90.00
_cell_angle_beta 90.00
_cell_angle_gamma 90.00
_space_group_name_H-M_alt 'F -4 3 m'
_space_group_IT_number 216
_space_group_name_Hall 'F -4 2 3'
loop_
_atom_site_label
_atom_site_type_symbol
_atom_site_fract_x
_atom_site_fract_y
_atom_site_fract_z
Ac1 Ac 0.000 0.000 0.000
La1 La 0.000 0.000 0.500
Al1 Al 0.250 0.250 0.250
I1 I 0.250 0.250 0.750


6.
# HfZr4Pb2, optimized geometry, DFT GGA-PBE
# Raw total energy: -7.04 eV/atom
# DFT formation energy: 0.322 eV per atom
data_HfZr4Pb2
_chemical_formula_sum 'Hf2 Zr8 Pb4'
_cell_length_a 4.162
_cell_length_b 4.162
_cell_length_c 20.352
_cell_angle_alpha 90.00
_cell_angle_beta 90.00
_cell_angle_gamma 90.00
_space_group_name_H-M_alt 'I 4/m m m'
_space_group_IT_number 139
_space_group_name_Hall '-I 4 2'
loop_
_atom_site_label
_atom_site_type_symbol
_atom_site_fract_x
_atom_site_fract_y
_atom_site_fract_z
Hf1 Hf 0.000 0.000 0.000
Zr1 Zr 0.000 0.000 0.135
Zr2 Zr 0.000 0.500 0.250
Pb1 Pb 0.000 0.000 0.408


7.
# CsNaNb2, optimized geometry, DFT GGA-PBE
# Raw total energy: -3.67 eV/atom
# DFT formation energy: 1.910 eV per atom
data_CsNaNb2
_chemical_formula_sum 'Cs4 Na4 Nb8'
_cell_length_a 9.267
_cell_length_b 9.267
_cell_length_c 5.362
_cell_angle_alpha 90.00
_cell_angle_beta 90.00
_cell_angle_gamma 90.00
_space_group_name_H-M_alt 'I -4 2 d'
_space_group_IT_number 122
_space_group_name_Hall 'I -4 2bw'
loop_
_atom_site_label
_atom_site_type_symbol
_atom_site_fract_x
_atom_site_fract_y
_atom_site_fract_z
Cs1 Cs 0.000 0.000 0.000
Na1 Na 0.000 0.000 0.500
Nb1 Nb 0.244 0.250 0.625


8.
# MgSeBr2O, optimized geometry, DFT GGA-PBE
# Raw total energy: -2.59 eV/atom
# Formation energy without anion corrections: 0.09 eV/atom
data_MgSeBr2O
_chemical_formula_sum 'Mg1 Se1 Br2 O1'
_cell_length_a 4.809
_cell_length_b 4.809
_cell_length_c 4.476
_cell_angle_alpha 90.00
_cell_angle_beta 90.00
_cell_angle_gamma 90.00
_space_group_name_H-M_alt 'P 4/m m m'
_space_group_IT_number 123
_space_group_name_Hall '-P 4 2'
loop_
_atom_site_label
_atom_site_type_symbol
_atom_site_fract_x
_atom_site_fract_y
_atom_site_fract_z
Mg1 Mg 0.000 0.000 0.000
Se1 Se 0.500 0.500 0.000
Br1 Br 0.000 0.500 0.500
O1 O 0.500 0.500 0.500